[1]
# Al3MoPd12 (GGA-PBE, optimized geometry)
data_Al3MoPd12
_chemical_formula_sum 'Al3 Mo1 Pd12'
_space_group_name_H-M_alt 'P 1'
_space_group_IT_number 1
_space_group_name_Hall 'P 1'
_cell_length_a 3.914
_cell_length_b 3.914
_cell_length_c 15.686
_cell_angle_alpha 90.00
_cell_angle_beta 90.00
_cell_angle_gamma 90.00
loop_
_atom_site_label
_atom_site_fract_x
_atom_site_fract_y
_atom_site_fract_z
_atom_site_occupancy
Al1 0.000 0.000 0.000 1
Al2 0.000 0.000 0.241 1
Al3 0.000 0.000 0.759 1
Mo1 0.000 0.000 0.500 1
Pd1 0.000 0.500 0.125 1
Pd2 0.000 0.500 0.377 1
Pd3 0.000 0.500 0.623 1
Pd4 0.000 0.500 0.875 1
Pd5 0.500 0.000 0.125 1
Pd6 0.500 0.000 0.377 1
Pd7 0.500 0.000 0.623 1
Pd8 0.500 0.000 0.875 1
Pd9 0.500 0.500 0.000 1
Pd10 0.500 0.500 0.251 1
Pd11 0.500 0.500 0.500 1
Pd12 0.500 0.500 0.749 1
# formation energy from the elements: -7.713 eV/f.u.
# SG: P4/mmm, No. 123

***

[2]
# Al2MoPd (GGA-PBE, optimized geometry)
data_Al2MoPd
_chemical_formula_sum 'Al4 Mo2 Pd2'
_space_group_name_H-M_alt 'P 1'
_space_group_IT_number 1
_space_group_name_Hall 'P 1'
_cell_length_a 5.590
_cell_length_b 5.590
_cell_length_c 5.590
_cell_angle_alpha 105.05
_cell_angle_beta 105.05
_cell_angle_gamma 118.72
loop_
_atom_site_label
_atom_site_fract_x
_atom_site_fract_y
_atom_site_fract_z
_atom_site_occupancy
Al1 0.105 0.625 0.980 1
Al2 0.375 0.355 0.480 1
Al3 0.645 0.125 0.020 1
Al4 0.875 0.895 0.520 1
Mo1 0.250 0.750 0.500 1
Mo2 0.500 0.500 0.000 1
Pd1 0.000 0.000 0.000 1
Pd2 0.750 0.250 0.500 1
# formation energy from the elements: 0.175 eV/f.u.
# SG: I-42d, No. 122
# energy above the lowest structure with this stoichiometry: 210 kJ/mol of formula units

***

no.,E (eV/cell),M_tot (Bohr magnetons per cell)
1,-92.1,0.32
2,-46.7,0.00